K2Ni3PdF12 | PBE+U | relaxed

Summary:
final energy	-4.172	eV per atom
ρ	3.52	g/cm3
V	15.44	Å³/atom
space group	R-3m

Cell lengths 7.433, 7.433, 7.433 Å; angles 58.12, 58.12, 58.12 degrees
Element x y z (fractional)
K  0.100  0.100  0.100
K  0.900  0.900  0.900
Ni  0.000  0.500  0.500
Ni  0.500  0.000  0.500
Ni  0.500  0.500  0.000
Pd  0.500  0.500  0.500
F  0.172  0.172  0.578
F  0.172  0.578  0.172
F  0.179  0.576  0.576
F  0.422  0.828  0.828
F  0.424  0.424  0.821
F  0.424  0.821  0.424
F  0.576  0.179  0.576
F  0.576  0.576  0.179
F  0.578  0.172  0.172
F  0.821  0.424  0.424
F  0.828  0.422  0.828
F  0.828  0.828  0.422